(1)
This record from Alexandria describes a geometry-optimized CaAcTbHg structure. The functional is PBE-GGA.

a b c (Å): 5.7050 5.7050 5.7050
angles (deg): 60.00 60.00 60.00
Last column: nearest neighbours and their distance in Å.
Sites, in units of the cell vectors:
Ac 0.0000 0.0000 0.0000  4 Ca 3.49, 4 Tb 3.49
Ca 0.2500 0.2500 0.2500  4 Hg 3.49, 4 Ac 3.49
Tb 0.7500 0.7500 0.7500  4 Ac 3.49, 4 Hg 3.49
Hg 0.5000 0.5000 0.5000  4 Tb 3.49, 4 Ca 3.49

Calculated values
For the total magnetization, the calculation gives 0.0 μB/f.u. As for the energy relative to the lowest polymorph listed for this composition: 0.296 eV per atom. Its formation energy is 0.06 eV per atom. Its space-group type is No. 216. As for the total energy: -10.806 eV per cell. As for the density of states at the Fermi level: 4.51 states/eV/cell.

---

(2)
This record from Alexandria describes a geometry-optimized CaAcTb2Hg4 structure. The functional is PBE-GGA.

a b c (Å): 5.3385 5.3385 9.6544
angles (deg): 73.95 73.95 60.00
Last column: nearest neighbours and their distance in Å.
Sites, in units of the cell vectors:
Ca 0.5000 0.5000 0.5000  8 Hg 3.20-3.27
Ac 0.0000 0.0000 0.0000  8 Hg 3.38-3.49
Tb 0.7559 0.7559 0.7324  7 Hg 3.21-3.26
Tb 0.2441 0.2441 0.2676  7 Hg 3.21-3.26
Hg 0.3835 0.3835 0.8494  1 Ca 3.20, 3 Tb 3.26, 3 Ac 3.38
Hg 0.8730 0.8730 0.3811  4 Tb 3.21-3.25, 3 Ca 3.27, 1 Ac 3.49
Hg 0.1270 0.1270 0.6189  4 Tb 3.21-3.25, 3 Ca 3.27, 1 Ac 3.49
Hg 0.6165 0.6165 0.1506  1 Ca 3.20, 3 Tb 3.26, 3 Ac 3.38

Calculated values
For the total magnetization, the calculation gives 0.0 μB/f.u. Its formation energy is -0.48 eV per atom. Its space-group type is No. 166. As for the total energy: -20.427 eV per cell. As for the density of states at the Fermi level: 4.88 states/eV/cell.

---

(3)
This record from Alexandria describes a geometry-optimized CaAcTbHg structure. The functional is PBE-GGA.

a b c (Å): 3.7625 3.7625 9.5628
angles (deg): 90.00 90.00 90.00
Last column: nearest neighbours and their distance in Å.
Sites, in units of the cell vectors:
Ca 0.5000 0.5000 0.7643  4 Hg 3.31
Ac 0.0000 0.0000 0.0911  4 Ac 3.76, 4 Tb 3.77, 4 Ca 4.10
Tb 0.5000 0.5000 0.3710  4 Hg 3.21
Hg 0.0000 0.0000 0.5583  4 Tb 3.21, 4 Ca 3.31

Calculated values
For the total magnetization, the calculation gives 0.0 μB/f.u. As for the energy relative to the lowest polymorph listed for this composition: 0.000 eV per atom. Its formation energy is -0.24 eV per atom. Its space-group type is No. 99. As for the total energy: -11.991 eV per cell. As for the density of states at the Fermi level: 5.58 states/eV/cell.

---

(4)
This record from Alexandria describes a geometry-optimized CaAcTm2Hg4 structure. The functional is PBE-GGA.

a b c (Å): 5.2901 5.2901 9.6146
angles (deg): 74.03 74.03 60.00
Last column: nearest neighbours and their distance in Å.
Sites, in units of the cell vectors:
Ca 0.5000 0.5000 0.5000  8 Hg 3.15-3.24
Ac 0.0000 0.0000 0.0000  8 Hg 3.36-3.47
Tm 0.7561 0.7561 0.7316  7 Hg 3.20-3.23
Tm 0.2439 0.2439 0.2684  7 Hg 3.20-3.23
Hg 0.3848 0.3848 0.8456  1 Ca 3.15, 3 Tm 3.23, 3 Ac 3.36
Hg 0.8731 0.8731 0.3808  4 Tm 3.20-3.22, 3 Ca 3.24, 1 Ac 3.47
Hg 0.1269 0.1269 0.6192  4 Tm 3.20-3.22, 3 Ca 3.24, 1 Ac 3.47
Hg 0.6152 0.6152 0.1544  1 Ca 3.15, 3 Tm 3.23, 3 Ac 3.36

Calculated values
For the total magnetization, the calculation gives 0.0 μB/f.u. Its formation energy is -0.46 eV per atom. Its space-group type is No. 166. As for the total energy: -19.966 eV per cell. As for the density of states at the Fermi level: 4.59 states/eV/cell.

---

(5)
This record from Alexandria describes a geometry-optimized CaAcYHg structure. The functional is PBE-GGA.

a b c (Å): 5.7063 5.7063 5.7063
angles (deg): 60.00 60.00 60.00
Last column: nearest neighbours and their distance in Å.
Sites, in units of the cell vectors:
Y 0.2500 0.2500 0.2500  4 Ac 3.49, 4 Hg 3.49
Ac 0.5000 0.5000 0.5000  4 Ca 3.49, 4 Y 3.49
Ca 0.7500 0.7500 0.7500  4 Hg 3.49, 4 Ac 3.49
Hg 0.0000 0.0000 0.0000  4 Y 3.49, 4 Ca 3.49

Calculated values
For the total magnetization, the calculation gives 0.0 μB/f.u. Its formation energy is 0.06 eV per atom. Its space-group type is No. 216. As for the total energy: -12.636 eV per cell. As for the density of states at the Fermi level: 5.11 states/eV/cell.

---

(6)
This record from Alexandria describes a geometry-optimized CaAc2YHg6 structure. The functional is PBE-GGA.

a b c (Å): 7.8872 7.8872 7.8872
angles (deg): 60.00 60.00 90.00
Last column: nearest neighbours and their distance in Å.
Sites, in units of the cell vectors:
Ca 0.0000 0.0000 0.0000  6 Hg 2.78
Ac 0.2500 0.7500 0.5000  12 Hg 3.94
Ac 0.7500 0.2500 0.5000  12 Hg 3.94
Y 0.5000 0.5000 0.0000  6 Hg 2.79
Hg 0.2496 0.7504 0.0000  1 Ca 2.78, 1 Y 2.79
Hg 0.7504 0.7504 0.0000  1 Ca 2.78, 1 Y 2.79
Hg 0.2496 0.2496 0.5008  1 Ca 2.78, 1 Y 2.79
Hg 0.7504 0.2496 0.0000  1 Ca 2.78, 1 Y 2.79
Hg 0.2496 0.2496 0.0000  1 Ca 2.78, 1 Y 2.79
Hg 0.7504 0.7504 0.4992  1 Ca 2.78, 1 Y 2.79

Calculated values
For the total magnetization, the calculation gives 0.0 μB/f.u. Its formation energy is 0.01 eV per atom. Its space-group type is No. 225. As for the total energy: -18.383 eV per cell. As for the density of states at the Fermi level: 13.57 states/eV/cell.

---

(7)
This record from Alexandria describes a geometry-optimized Ca2AcYHg4 structure. The functional is PBE-GGA.

a b c (Å): 5.4125 5.4125 9.4755
angles (deg): 73.41 73.41 60.00
Last column: nearest neighbours and their distance in Å.
Sites, in units of the cell vectors:
Ca 0.7526 0.7526 0.7421  7 Hg 3.19-3.33
Ca 0.2474 0.2474 0.2579  7 Hg 3.19-3.33
Ac 0.0000 0.0000 0.0000  8 Hg 3.38-3.45
Y 0.5000 0.5000 0.5000  8 Hg 3.19-3.29
Hg 0.3812 0.3812 0.8564  1 Y 3.19, 3 Ca 3.29, 3 Ac 3.38
Hg 0.8713 0.8713 0.3860  4 Ca 3.19-3.33, 3 Y 3.29, 1 Ac 3.45
Hg 0.1287 0.1287 0.6140  4 Ca 3.19-3.33, 3 Y 3.29, 1 Ac 3.45
Hg 0.6188 0.6188 0.1436  1 Y 3.19, 3 Ca 3.29, 3 Ac 3.38

Calculated values
For the total magnetization, the calculation gives 0.0 μB/f.u. Its formation energy is -0.53 eV per atom. Its space-group type is No. 166. As for the total energy: -20.030 eV per cell. As for the density of states at the Fermi level: 6.80 states/eV/cell.

---

(8)
This record from Alexandria describes a geometry-optimized CaAcZnHg structure. The functional is PBE-GGA.

a b c (Å): 5.4904 5.4904 5.4904
angles (deg): 60.00 60.00 60.00
Last column: nearest neighbours and their distance in Å.
Sites, in units of the cell vectors:
Zn 0.2500 0.2500 0.2500  4 Ca 3.36, 4 Ac 3.36
Ac 0.5000 0.5000 0.5000  4 Zn 3.36, 4 Hg 3.36
Ca 0.0000 0.0000 0.0000  4 Hg 3.36, 4 Zn 3.36
Hg 0.7500 0.7500 0.7500  4 Ca 3.36, 4 Ac 3.36

Calculated values
For the total magnetization, the calculation gives 0.0 μB/f.u. Its formation energy is -0.40 eV per atom. Its space-group type is No. 216. As for the total energy: -9.285 eV per cell. As for the density of states at the Fermi level: 3.30 states/eV/cell.

---

(9)
This record from Alexandria describes a geometry-optimized CaAcHo2 structure. The functional is PBE-GGA.

a b c (Å): 5.9088 5.9088 5.9088
angles (deg): 60.00 60.00 60.00
Last column: nearest neighbours and their distance in Å.
Sites, in units of the cell vectors:
Ac 0.5000 0.5000 0.5000  8 Ho 3.62
Ca 0.0000 0.0000 0.0000  8 Ho 3.62
Ho 0.2500 0.2500 0.2500  4 Ca 3.62, 4 Ac 3.62
Ho 0.7500 0.7500 0.7500  4 Ac 3.62, 4 Ca 3.62

Calculated values
For the total magnetization, the calculation gives 0.0 μB/f.u. As for the energy relative to the lowest polymorph listed for this composition: 0.067 eV per atom. Its formation energy is 0.17 eV per atom. Its space-group type is No. 225. As for the total energy: -14.586 eV per cell. As for the density of states at the Fermi level: 6.15 states/eV/cell.

---

(10)
This record from Alexandria describes a geometry-optimized CaAc2Ho structure. The functional is PBE-GGA.

a b c (Å): 6.0983 6.0983 6.0983
angles (deg): 60.00 60.00 60.00
Last column: nearest neighbours and their distance in Å.
Sites, in units of the cell vectors:
Ac 0.2500 0.2500 0.2500  4 Ho 3.73, 4 Ca 3.73
Ac 0.7500 0.7500 0.7500  4 Ho 3.73, 4 Ca 3.73
Ca 0.5000 0.5000 0.5000  8 Ac 3.73
Ho 0.0000 0.0000 0.0000  8 Ac 3.73

Calculated values
For the total magnetization, the calculation gives 0.0 μB/f.u. As for the energy relative to the lowest polymorph listed for this composition: 0.024 eV per atom. Its formation energy is 0.07 eV per atom. Its space-group type is No. 225. As for the total energy: -14.504 eV per cell. As for the density of states at the Fermi level: 5.33 states/eV/cell.

---

(11)
This record from Alexandria describes a geometry-optimized CaAcHo4 structure. The functional is PBE-GGA.

a b c (Å): 6.7603 6.7603 6.7603
angles (deg): 60.00 60.00 60.00
Last column: nearest neighbours and their distance in Å.
Sites, in units of the cell vectors:
Ac 0.0000 0.0000 0.0000  12 Ho 3.96, 4 Ca 4.14
Ca 0.2500 0.2500 0.2500  12 Ho 3.96, 4 Ac 4.14
Ho 0.6255 0.6255 0.1236  6 Ho 3.37-3.39
Ho 0.6255 0.1236 0.6255  6 Ho 3.37-3.39
Ho 0.6255 0.6255 0.6255  6 Ho 3.37-3.39
Ho 0.1236 0.6255 0.6255  6 Ho 3.37-3.39

Calculated values
For the total magnetization, the calculation gives 0.0 μB/f.u. Its formation energy is 0.20 eV per atom. Its space-group type is No. 216. As for the total energy: -23.208 eV per cell. As for the density of states at the Fermi level: 7.68 states/eV/cell.

---

(12)
This record from Alexandria describes a geometry-optimized CaAc6Ho structure. The functional is PBE-GGA.

a b c (Å): 5.5407 5.5407 11.0781
angles (deg): 90.00 90.00 90.00
Last column: nearest neighbours and their distance in Å.
Sites, in units of the cell vectors:
Ca 0.0000 0.0000 0.0000  12 Ac 3.92-3.97
Ac 0.5000 0.5000 0.0000  4 Ca 3.92, 8 Ac 3.97
Ac 0.5000 0.5000 0.5000  8 Ac 3.86, 4 Ho 3.92
Ac 0.5000 0.0000 0.2569  8 Ac 3.86-3.97, 2 Ho 3.86, 2 Ca 3.97
Ac 0.5000 0.0000 0.7431  8 Ac 3.86-3.97, 2 Ho 3.86, 2 Ca 3.97
Ac 0.0000 0.5000 0.2569  8 Ac 3.86-3.97, 2 Ho 3.86, 2 Ca 3.97
Ac 0.0000 0.5000 0.7431  8 Ac 3.86-3.97, 2 Ho 3.86, 2 Ca 3.97
Ho 0.0000 0.0000 0.5000  12 Ac 3.86-3.92

Calculated values
For the total magnetization, the calculation gives 0.0 μB/f.u. Its formation energy is 0.03 eV per atom. Its space-group type is No. 123. As for the total energy: -31.006 eV per cell. As for the density of states at the Fermi level: 11.49 states/eV/cell.

---

> total energy of number 12 (CaAc6Ho)?

-31.006 eV per cell

---

> Among the records above, which one has the highest density of states at the Fermi level?

CaAc2YHg6